First-principles (GGA-PBE) data for a relaxed structure of LaGa3Pd3, as listed in Alexandria.

Energy of formation from the pure elements   -704 meV per atom
Space group   P2_13, No. 198

Lattice parameters (Å, degrees): 8.0028 8.0028 8.0028 90.00 90.00 90.00
Last column: nearest neighbours and their distance in Å.
Fractional positions:
1 La 0.0582 0.4418 0.5582  4 Pd 2.98-3.31, 6 Ga 3.02-3.14
2 La 0.4418 0.5582 0.0582  4 Pd 2.98-3.31, 6 Ga 3.02-3.14
3 La 0.5582 0.0582 0.4418  4 Pd 2.98-3.31, 6 Ga 3.02-3.14
4 La 0.9418 0.9418 0.9418  4 Pd 2.98-3.31, 6 Ga 3.02-3.14
5 Ga 0.0255 0.3101 0.9262  5 Pd 2.60-2.89, 2 Ga 2.75
6 Ga 0.0738 0.5255 0.1899  5 Pd 2.60-2.89, 2 Ga 2.75
7 Ga 0.1899 0.0738 0.5255  5 Pd 2.60-2.89, 2 Ga 2.75
8 Ga 0.3101 0.9262 0.0255  5 Pd 2.60-2.89, 2 Ga 2.75
9 Ga 0.4262 0.4745 0.6899  5 Pd 2.60-2.89, 2 Ga 2.75
10 Ga 0.4745 0.6899 0.4262  5 Pd 2.60-2.89, 2 Ga 2.75
11 Ga 0.5255 0.1899 0.0738  5 Pd 2.60-2.89, 2 Ga 2.75
12 Ga 0.5738 0.9745 0.8101  5 Pd 2.60-2.89, 2 Ga 2.75
13 Ga 0.6899 0.4262 0.4745  5 Pd 2.60-2.89, 2 Ga 2.75
14 Ga 0.8101 0.5738 0.9745  5 Pd 2.60-2.89, 2 Ga 2.75
15 Ga 0.9262 0.0255 0.3101  5 Pd 2.60-2.89, 2 Ga 2.75
16 Ga 0.9745 0.8101 0.5738  5 Pd 2.60-2.89, 2 Ga 2.75
17 Pd 0.1208 0.6208 0.8792  3 Ga 2.63, 1 Pd 2.75
18 Pd 0.1807 0.1807 0.1807  6 Ga 2.60-2.89, 1 Pd 2.75
19 Pd 0.1899 0.8101 0.3101  6 Ga 2.64-2.72
20 Pd 0.3101 0.1899 0.8101  6 Ga 2.64-2.72
21 Pd 0.3193 0.8193 0.6807  6 Ga 2.60-2.89, 1 Pd 2.75
22 Pd 0.3792 0.3792 0.3792  3 Ga 2.63, 1 Pd 2.75
23 Pd 0.6208 0.8792 0.1208  3 Ga 2.63, 1 Pd 2.75
24 Pd 0.6807 0.3193 0.8193  6 Ga 2.60-2.89, 1 Pd 2.75
25 Pd 0.6899 0.6899 0.6899  6 Ga 2.64-2.72
26 Pd 0.8101 0.3101 0.1899  6 Ga 2.64-2.72
27 Pd 0.8193 0.6807 0.3193  6 Ga 2.60-2.89, 1 Pd 2.75
28 Pd 0.8792 0.1208 0.6208  3 Ga 2.63, 1 Pd 2.75